Below is an optimized crystal structure of BiWF3, with properties calculated at the PBE with a Hubbard U level.

Cell lengths 4.419, 4.419, 4.419 Å; angles 90.00, 90.00, 90.00 degrees
Space group Pm-3m (No. 221)
Unique sites:
Bi 0.000 0.000 0.000
W 0.500 0.500 0.500
F 0.000 0.500 0.500

Results
Distance to the lowest polymorph of the same formula in eV/f.u.: 0.00
Final energy in eV per atom: -4.702